(1)
Below is an optimized crystal structure of DyHoEr3, with properties calculated at the GGA-PBE level.

Summary:
Energy above the most stable polymorph in this dataset   0.000 eV per atom
Symmetry   C2/m (12)

Lattice parameters (Å, degrees): 3.5019 9.2878 9.9261 74.54 90.00 79.15
Last column: nearest neighbours and their distance in Å.
Fractional coordinates of all 10 atoms:
Dy  0.9997  0.5001  0.2499  2 Dy 3.50, 9 Er 3.51, 1 Ho 3.51
Dy  0.0003  0.4999  0.7501  2 Dy 3.50, 9 Er 3.51, 1 Ho 3.51
Ho  0.2002  0.1000  0.3497  4 Ho 3.50-3.51, 7 Er 3.51, 1 Dy 3.51
Ho  0.7998  0.9000  0.6503  4 Ho 3.50-3.51, 7 Er 3.51, 1 Dy 3.51
Er  0.6005  0.2994  0.0499  6 Er 3.50-3.52, 2 Ho 3.51, 4 Dy 3.51
Er  0.3995  0.7006  0.9501  6 Er 3.50-3.52, 2 Ho 3.51, 4 Dy 3.51
Er  0.6000  0.2996  0.5503  5 Er 3.50-3.52, 4 Dy 3.51, 3 Ho 3.51
Er  0.4000  0.7004  0.4497  5 Er 3.50-3.52, 4 Dy 3.51, 3 Ho 3.51
Er  0.8000  0.9000  0.1498  9 Er 3.50-3.51, 2 Ho 3.51, 1 Dy 3.51
Er  0.2000  0.1000  0.8502  9 Er 3.50-3.51, 2 Ho 3.51, 1 Dy 3.51


(2)
Below is an optimized crystal structure of Dy4Ho2Er3, with properties calculated at the GGA-PBE level.

Summary:
Symmetry   C2/c (15)

Lattice parameters (Å, degrees): 6.0853 11.1328 11.1328 62.10 61.70 61.70
Last column: nearest neighbours and their distance in Å.
Fractional coordinates of all 18 atoms:
Dy  0.4203  0.9040  0.1890  1 Ho 3.25, 4 Er 3.36-3.45, 3 Dy 3.37-3.59
Dy  0.0797  0.8110  0.0960  1 Ho 3.25, 4 Er 3.36-3.45, 3 Dy 3.37-3.59
Dy  0.5797  0.0960  0.8110  1 Ho 3.25, 4 Er 3.36-3.45, 3 Dy 3.37-3.59
Dy  0.9203  0.1890  0.9040  1 Ho 3.25, 4 Er 3.36-3.45, 3 Dy 3.37-3.59
Dy  0.0797  0.1444  0.4297  1 Dy 3.24, 4 Er 3.36-3.44, 3 Ho 3.37-3.59
Dy  0.4203  0.5703  0.8556  1 Dy 3.24, 4 Er 3.36-3.44, 3 Ho 3.37-3.59
Dy  0.9203  0.8556  0.5703  1 Dy 3.24, 4 Er 3.36-3.44, 3 Ho 3.37-3.59
Dy  0.5797  0.4297  0.1444  1 Dy 3.24, 4 Er 3.36-3.44, 3 Ho 3.37-3.59
Ho  0.4202  0.2382  0.5219  4 Dy 3.25-3.59, 4 Er 3.34-3.45
Ho  0.0798  0.4781  0.7618  4 Dy 3.25-3.59, 4 Er 3.34-3.45
Ho  0.5798  0.7618  0.4781  4 Dy 3.25-3.59, 4 Er 3.34-3.45
Ho  0.9202  0.5219  0.2382  4 Dy 3.25-3.59, 4 Er 3.34-3.45
Er  0.7485  0.0701  0.2636  6 Dy 3.36-3.45, 2 Ho 3.44-3.45
Er  0.7515  0.7364  0.9299  6 Dy 3.36-3.45, 2 Ho 3.44-3.45
Er  0.2515  0.9299  0.7364  6 Dy 3.36-3.45, 2 Ho 3.44-3.45
Er  0.2485  0.2636  0.0701  6 Dy 3.36-3.45, 2 Ho 3.44-3.45
Er  0.2500  0.5967  0.4033  4 Ho 3.34-3.44, 4 Dy 3.43-3.44
Er  0.7500  0.4033  0.5967  4 Ho 3.34-3.44, 4 Dy 3.43-3.44


(3)
Below is an optimized crystal structure of Dy7Ho3Er, with properties calculated at the GGA-PBE level.

Summary:
Energy above the most stable polymorph in this dataset   0.128 eV per atom
Symmetry   C2/m (12)

Lattice parameters (Å, degrees): 5.7569 8.3549 8.3549 83.09 110.18 110.18
Last column: nearest neighbours and their distance in Å.
Fractional coordinates of all 11 atoms:
Dy  0.2092  0.2081  0.2081  1 Er 3.24, 2 Ho 3.25, 2 Dy 3.45
Dy  0.3024  0.0064  0.5990  2 Ho 3.15-3.50, 3 Dy 3.27-3.45
Dy  0.6976  0.4010  0.9936  2 Ho 3.15-3.50, 3 Dy 3.27-3.45
Dy  0.3024  0.5990  0.0064  2 Ho 3.15-3.50, 3 Dy 3.27-3.45
Dy  0.0000  0.5000  0.5000  2 Er 2.88
Dy  0.6976  0.9936  0.4010  2 Ho 3.15-3.50, 3 Dy 3.27-3.45
Dy  0.7908  0.7919  0.7919  1 Er 3.24, 2 Ho 3.25, 2 Dy 3.45
Ho  0.0000  0.7932  0.2068  9 Dy 3.25-3.62
Ho  0.5000  0.0000  0.0000  4 Dy 3.15
Ho  0.0000  0.2068  0.7932  9 Dy 3.25-3.62
Er  0.5000  0.5000  0.5000  2 Dy 2.88


(4)
Below is an optimized crystal structure of Dy4Ho2Er5, with properties calculated at the GGA-PBE level.

Summary:
Energy above the most stable polymorph in this dataset   0.096 eV per atom
Symmetry   C2/m (12)

Lattice parameters (Å, degrees): 3.4453 8.5829 11.8631 82.89 98.35 90.00
Last column: nearest neighbours and their distance in Å.
Fractional coordinates of all 11 atoms:
Dy  0.6769  0.5283  0.3538  6 Dy 3.45-3.82, 5 Er 3.50-3.59, 2 Ho 3.67
Dy  0.0457  0.6407  0.0913  2 Ho 3.22-3.31, 3 Er 3.23-3.58, 5 Dy 3.42-3.56
Dy  0.3231  0.4717  0.6462  6 Dy 3.45-3.82, 5 Er 3.50-3.59, 2 Ho 3.67
Dy  0.9543  0.3593  0.9087  2 Ho 3.22-3.31, 3 Er 3.23-3.58, 5 Dy 3.42-3.56
Ho  0.9087  0.7406  0.8174  2 Dy 3.22-3.31, 2 Er 3.29-3.31, 2 Ho 3.45
Ho  0.0913  0.2594  0.1826  2 Dy 3.22-3.31, 2 Er 3.29-3.31, 2 Ho 3.45
Er  0.1410  0.8814  0.2821  3 Dy 3.23-3.50, 1 Ho 3.31, 5 Er 3.42-3.50
Er  0.8590  0.1186  0.7179  3 Dy 3.23-3.50, 1 Ho 3.31, 5 Er 3.42-3.50
Er  0.2320  0.1746  0.4640  1 Ho 3.29, 7 Er 3.42-3.50, 3 Dy 3.53-3.59
Er  0.5000  0.0000  0.0000  6 Er 3.45-3.76, 4 Dy 3.58, 4 Ho 3.70
Er  0.7680  0.8254  0.5360  1 Ho 3.29, 7 Er 3.42-3.50, 3 Dy 3.53-3.59


Number 1: DFT formation energy 0.0199 eV per atom. Number 2: DFT formation energy 0.0998 eV per atom. Number 3: DFT formation energy 0.2734 eV per atom. Number 4: DFT formation energy 0.1560 eV per atom.